No. 1
This record from Alexandria describes a crystal of KMg3Si4O12 relaxed with PBEsol. The functional is meta-GGA SCAN.

Output
ΔE_f (raw)	-2905	meV per atom
theoretical density	2.87	g cm⁻³
magnetization	1.00	μB per formula unit
space-group type	P3_112, No. 151

Cell: 5.271 5.271 30.052 Å, 90.00 90.00 120.00°
Atoms (fractional coordinates):
1 Si 0.223 0.759 0.758
2 Si 0.223 0.464 0.242
3 Si 0.241 0.777 0.909
4 Si 0.911 0.112 0.909
5 Si 0.536 0.759 0.575
6 Si 0.201 0.112 0.425
7 Si 0.536 0.777 0.425
8 Si 0.888 0.799 0.242
9 Si 0.241 0.464 0.091
10 Si 0.201 0.089 0.575
11 Si 0.911 0.799 0.091
12 Si 0.888 0.089 0.758
13 O 0.576 0.444 0.968
14 O 0.226 0.763 0.705
15 O 0.556 0.424 0.699
16 O 0.237 0.774 0.962
17 O 0.237 0.463 0.038
18 O 0.915 0.802 0.038
19 O 0.080 0.948 0.887
20 O 0.364 0.941 0.445
21 O 0.887 0.085 0.705
22 O 0.915 0.113 0.962
23 O 0.059 0.636 0.221
24 O 0.555 0.926 0.780
25 O 0.074 0.445 0.887
26 O 0.364 0.424 0.555
27 O 0.576 0.941 0.888
28 O 0.537 0.763 0.629
29 O 0.576 0.636 0.112
30 O 0.555 0.629 0.220
31 O 0.576 0.132 0.032
32 O 0.537 0.774 0.371
33 O 0.868 0.920 0.554
34 O 0.080 0.132 0.113
35 O 0.198 0.085 0.629
36 O 0.868 0.424 0.634
37 O 0.868 0.444 0.366
38 O 0.052 0.920 0.780
39 O 0.371 0.445 0.446
40 O 0.868 0.948 0.446
41 O 0.059 0.424 0.779
42 O 0.074 0.629 0.113
43 O 0.226 0.463 0.295
44 O 0.198 0.113 0.371
45 O 0.556 0.132 0.301
46 O 0.052 0.132 0.220
47 O 0.887 0.802 0.295
48 O 0.371 0.926 0.554
49 K 0.566 0.434 0.833
50 K 0.566 0.132 0.167
51 K 0.868 0.434 0.500
52 Mg 0.212 0.424 0.667
53 Mg 0.906 0.453 0.000
54 Mg 0.547 0.094 0.667
55 Mg 0.877 0.123 0.333
56 Mg 0.547 0.453 0.333
57 Mg 0.212 0.788 0.333
58 Mg 0.576 0.788 0.000
59 Mg 0.246 0.123 0.000
60 Mg 0.877 0.754 0.667



No. 2
This record from Alexandria describes a crystal of TlSbI3 relaxed with PBEsol. The functional is meta-GGA SCAN.

Output
ΔE_f (raw)	337	meV per atom
theoretical density	5.64	g cm⁻³
magnetization	2.22	μB per formula unit
space-group type	Pm-3m, No. 221

Cell: 5.927 5.927 5.927 Å, 90.00 90.00 90.00°
Atoms (fractional coordinates):
1 Tl 0.000 0.000 0.000
2 I 0.000 0.500 0.000
3 I 0.000 0.000 0.500
4 I 0.500 0.000 0.000
5 Sb 0.500 0.500 0.500



No. 3
This record from Alexandria describes a crystal of TlP2Au relaxed with PBEsol. The functional is meta-GGA SCAN.

Output
formation energy from the elements	-0.086	eV per atom
theoretical density	8.97	g cm⁻³
magnetization	0.00	μB per formula unit
space-group type	P2/m, No. 10
E above lowest polymorph	0.000	eV/f.u.

Cell: 3.827 4.354 5.281 Å, 102.88 90.00 90.00°
Atoms (fractional coordinates):
1 P 0.000 0.228 0.136
2 P 0.000 0.772 0.864
3 Au 0.500 0.500 0.000
4 Tl 0.500 0.000 0.500



No. 4
This record from Alexandria describes a crystal of Fe3Si relaxed with PBEsol. The functional is meta-GGA SCAN.

Output
ΔE_f (raw)	-221	meV per atom
theoretical density	7.69	g cm⁻³
magnetization	6.76	μB per formula unit
space-group type	Immm, No. 71

Cell: 2.817 3.828 4.580 Å, 114.70 107.91 90.00°
Atoms (fractional coordinates):
1 Fe 0.500 0.000 0.000
2 Fe 0.749 0.749 0.498
3 Fe 0.251 0.251 0.502
4 Si 0.000 0.500 0.000



No. 5
This record from Alexandria describes a crystal of CaAgSe2 relaxed with PBEsol. The functional is meta-GGA SCAN.

Output
ΔE_f (raw)	-1083	meV per atom
theoretical density	5.63	g cm⁻³
magnetization	0.00	μB per formula unit
space-group type	P4/mmm, No. 123

Cell: 4.000 4.000 5.637 Å, 90.00 90.00 90.00°
Atoms (fractional coordinates):
1 Ag 0.000 0.000 0.000
2 Se 0.000 0.000 0.500
3 Se 0.500 0.500 0.000
4 Ca 0.500 0.500 0.500



No. 6
This record from Alexandria describes a crystal of Li3AlH relaxed with PBEsol. The functional is meta-GGA SCAN.

Output
theoretical density	1.27	g cm⁻³
magnetization	0.00	μB per formula unit
space-group type	Pm-3m, No. 221

Cell: 3.998 3.998 3.998 Å, 90.00 90.00 90.00°
Atoms (fractional coordinates):
1 H 0.000 0.000 0.000
2 Li 0.000 0.500 0.000
3 Li 0.000 0.000 0.500
4 Li 0.500 0.000 0.000
5 Al 0.500 0.500 0.500



Values of total energy, in order: -9.81, -43.63, -40.66, -16.32, -21.38, -3.80, all in eV/atom.